Run P
! PBE ScNiIr, optimized geometry; values from VASP
&SYSTEM
  ibrav = 0, nat = 12, ntyp = 3
/
ATOMIC_SPECIES
Sc 44.96 Sc.upf
Ir 192.22 Ir.upf
Ni 58.69 Ni.upf
ATOMIC_POSITIONS angstrom
Sc 1.972 -2.615 1.598
Ir 2.724 -0.215 0.983
Sc 4.603 -3.369 3.393
Ir 2.946 -0.952 3.652
Ni 4.820 -1.732 1.591
Ir 2.382 -4.821 3.501
Ni 4.001 0.340 -1.553
Ir 2.604 -5.558 6.170
Ni 4.477 -6.338 4.109
Sc 0.655 0.091 3.044
Ni 3.659 -4.267 0.966
Sc 5.920 -6.075 1.947
CELL_PARAMETERS angstrom
-0.759 1.218 4.382
3.605 -8.066 2.867
4.290 1.147 -2.169
! Magnetic moment = 0.0 Bohr magnetons per cell


Run Q
! PBE ScNiIr, optimized geometry; values from VASP
&SYSTEM
  ibrav = 0, nat = 12, ntyp = 3
/
ATOMIC_SPECIES
Ir 192.22 Ir.upf
Sc 44.96 Sc.upf
Ni 58.69 Ni.upf
ATOMIC_POSITIONS angstrom
Ir 0.963 0.659 3.915
Sc -2.520 1.687 2.263
Ni 1.008 -0.297 8.690
Ir -0.226 0.503 1.493
Ni -1.177 1.857 4.976
Ir 1.959 -1.650 5.208
Sc 0.747 -1.798 2.779
Ni 2.216 0.782 6.316
Sc 4.447 -0.383 5.520
Ni -1.485 -0.633 3.575
Ir 3.148 -1.494 7.629
Sc -0.335 -0.466 5.978
CELL_PARAMETERS angstrom
-4.297 2.409 2.143
-1.515 -3.569 0.973
5.886 -0.738 6.456
! Magnetic moment = 0.0 Bohr magnetons per cell


Run R
! PBE ScNiIr, optimized geometry; values from VASP
&SYSTEM
  ibrav = 0, nat = 3, ntyp = 3
/
ATOMIC_SPECIES
Ir 192.22 Ir.upf
Ni 58.69 Ni.upf
Sc 44.96 Sc.upf
ATOMIC_POSITIONS angstrom
Ir 4.160 2.402 1.698
Ni 2.080 1.201 0.849
Sc 0.000 0.000 0.000
CELL_PARAMETERS angstrom
4.160 0.000 0.000
2.080 3.603 0.000
2.080 1.201 3.397
! Magnetic moment = 0.5 Bohr magnetons per cell


Run S
! PBE ScNiIr, optimized geometry; values from VASP
&SYSTEM
  ibrav = 0, nat = 6, ntyp = 3
/
ATOMIC_SPECIES
Ir 192.22 Ir.upf
Ni 58.69 Ni.upf
Sc 44.96 Sc.upf
ATOMIC_POSITIONS angstrom
Ir -1.732 -0.154 1.485
Ni -2.931 1.772 2.958
Sc -0.473 2.296 2.946
Sc -3.657 -3.046 2.488
Ir -2.398 -0.596 3.949
Ni -1.199 -2.522 2.476
CELL_PARAMETERS angstrom
-4.032 -2.326 -0.966
0.536 -2.430 3.612
-0.634 4.005 2.788
! Magnetic moment = 0.0 Bohr magnetons per cell


Computed stability ranking, most favorable first: run S, run Q, run P, run R


Run P
! PBE Sc3NiIr, optimized geometry; values from VASP
&SYSTEM
  ibrav = 0, nat = 5, ntyp = 3
/
ATOMIC_SPECIES
Ir 192.22 Ir.upf
Sc 44.96 Sc.upf
Ni 58.69 Ni.upf
ATOMIC_POSITIONS angstrom
Ir 0.000 0.000 0.000
Sc 0.000 2.487 0.000
Ni 2.487 2.487 2.487
Sc 2.487 0.000 0.000
Sc 0.000 0.000 2.487
CELL_PARAMETERS angstrom
4.973 0.000 0.000
0.000 4.973 0.000
0.000 0.000 4.973
! Magnetic moment = 0.0 Bohr magnetons per cell


Run Q
! PBE Sc3NiIr, optimized geometry; values from VASP
&SYSTEM
  ibrav = 0, nat = 10, ntyp = 3
/
ATOMIC_SPECIES
Ni 58.69 Ni.upf
Sc 44.96 Sc.upf
Ir 192.22 Ir.upf
ATOMIC_POSITIONS angstrom
Ni -6.834 -5.192 0.892
Sc -5.336 -1.730 -0.688
Sc -4.686 -6.839 2.135
Sc -2.823 -4.426 3.085
Sc -4.040 -4.491 0.134
Ni -1.325 -0.964 1.505
Ir -5.455 -4.082 2.640
Sc -4.118 -1.665 2.264
Ir -2.704 -2.074 -0.242
Sc -3.473 0.684 0.263
CELL_PARAMETERS angstrom
-3.468 2.132 1.383
-3.098 -2.493 -3.925
-1.593 -5.795 4.939
! Magnetic moment = 0.0 Bohr magnetons per cell


Computed stability ranking, most favorable first: run Q, run P


Run P
! PBE ScNiIr3, optimized geometry; values from VASP
&SYSTEM
  ibrav = 0, nat = 5, ntyp = 3
/
ATOMIC_SPECIES
Ni 58.69 Ni.upf
Ir 192.22 Ir.upf
Sc 44.96 Sc.upf
ATOMIC_POSITIONS angstrom
Ni 0.000 0.000 0.000
Ir -1.158 -1.898 0.279
Ir 1.279 -0.520 1.765
Ir 1.431 -1.071 -1.352
Sc 1.552 -3.490 0.692
CELL_PARAMETERS angstrom
-2.315 -3.797 0.558
2.861 -2.142 -2.704
2.557 -1.041 3.531
! Magnetic moment = 2.7 Bohr magnetons per cell


Run Q
! PBE ScNiIr3, optimized geometry; values from VASP
&SYSTEM
  ibrav = 0, nat = 5, ntyp = 3
/
ATOMIC_SPECIES
Ni 58.69 Ni.upf
Ir 192.22 Ir.upf
Sc 44.96 Sc.upf
ATOMIC_POSITIONS angstrom
Ni -3.106 -1.597 -2.001
Ir -0.857 -2.134 0.334
Ir -0.091 -0.323 -2.299
Sc 0.000 0.000 0.000
Ir -2.158 0.861 -0.036
CELL_PARAMETERS angstrom
-4.316 1.722 -0.072
-0.181 -0.647 -4.599
-1.713 -4.268 0.668
! Magnetic moment = 2.8 Bohr magnetons per cell


Computed stability ranking, most favorable first: run P, run Q


Run P
! PBE ScNi4Ir, optimized geometry; values from VASP
&SYSTEM
  ibrav = 0, nat = 6, ntyp = 3
/
ATOMIC_SPECIES
Ni 58.69 Ni.upf
Sc 44.96 Sc.upf
Ir 192.22 Ir.upf
ATOMIC_POSITIONS angstrom
Ni -3.301 -0.083 -4.435
Sc -1.573 -0.761 -2.341
Ir 0.000 0.000 0.000
Ni -1.729 -1.827 -4.924
Ni -3.616 -2.274 -3.511
Ni -3.936 -1.905 -5.859
CELL_PARAMETERS angstrom
-0.637 0.734 -4.670
-1.264 -3.624 -2.833
-4.389 -0.154 -1.861
! Magnetic moment = 2.1 Bohr magnetons per cell


Run Q
! PBE ScNi4Ir, optimized geometry; values from VASP
&SYSTEM
  ibrav = 0, nat = 12, ntyp = 3
/
ATOMIC_SPECIES
Sc 44.96 Sc.upf
Ni 58.69 Ni.upf
Ir 192.22 Ir.upf
ATOMIC_POSITIONS angstrom
Sc -6.647 -1.031 -0.505
Ni -6.947 0.220 2.564
Ni -4.417 1.005 0.894
Ni -2.967 2.094 -3.098
Ir -5.234 -1.221 1.546
Ni 0.000 0.000 0.000
Ni -5.497 1.309 -1.429
Sc -2.646 -0.286 -0.793
Ni -1.852 1.381 1.193
Ni -8.062 0.933 -1.728
Ir -4.059 -0.095 -2.845
Ni -2.887 -0.895 1.905
CELL_PARAMETERS angstrom
-0.621 3.630 0.764
-3.519 0.474 -5.109
-5.774 -1.790 3.811
! Magnetic moment = 2.8 Bohr magnetons per cell


Computed stability ranking, most favorable first: run P, run Q


Run P
! PBE ScSiNi2Ir, optimized geometry; values from VASP
&SYSTEM
  ibrav = 0, nat = 5, ntyp = 4
/
ATOMIC_SPECIES
Sc 44.96 Sc.upf
Ni 58.69 Ni.upf
Si 28.09 Si.upf
Ir 192.22 Ir.upf
ATOMIC_POSITIONS angstrom
Sc 0.000 0.000 0.000
Ni 1.039 1.031 1.592
Si -1.303 0.199 3.659
Ir -0.499 -1.811 1.498
Ni -1.842 0.979 0.569
CELL_PARAMETERS angstrom
-3.685 1.957 1.138
-0.998 -3.621 2.996
2.078 2.061 3.183
! Magnetic moment = 0.0 Bohr magnetons per cell


Run Q
! PBE ScSiNi2Ir, optimized geometry; values from VASP
&SYSTEM
  ibrav = 0, nat = 5, ntyp = 4
/
ATOMIC_SPECIES
Ni 58.69 Ni.upf
Si 28.09 Si.upf
Sc 44.96 Sc.upf
Ir 192.22 Ir.upf
ATOMIC_POSITIONS angstrom
Ni -1.854 -0.560 0.831
Si 0.767 -2.234 0.207
Sc 0.000 0.000 0.000
Ir -0.353 -2.363 2.967
Ni 0.734 0.431 1.928
CELL_PARAMETERS angstrom
-3.709 -1.120 1.662
1.535 -4.468 0.414
1.468 0.862 3.857
! Magnetic moment = 0.0 Bohr magnetons per cell


Computed stability ranking, most favorable first: run P, run Q


Run P
! PBE ThScNiIr, optimized geometry; values from VASP
&SYSTEM
  ibrav = 0, nat = 4, ntyp = 4
/
ATOMIC_SPECIES
Ni 58.69 Ni.upf
Sc 44.96 Sc.upf
Th 232.04 Th.upf
Ir 192.22 Ir.upf
ATOMIC_POSITIONS angstrom
Ni 0.000 0.922 3.987
Sc 0.000 -1.658 4.573
Th 2.233 -0.367 2.255
Ir 2.233 2.216 0.746
CELL_PARAMETERS angstrom
4.466 0.000 0.000
-2.233 3.872 -0.006
0.000 -2.582 4.690
! Magnetic moment = 0.0 Bohr magnetons per cell


Run Q
! PBE ThScNiIr, optimized geometry; values from VASP
&SYSTEM
  ibrav = 0, nat = 4, ntyp = 4
/
ATOMIC_SPECIES
Ir 192.22 Ir.upf
Ni 58.69 Ni.upf
Th 232.04 Th.upf
Sc 44.96 Sc.upf
ATOMIC_POSITIONS angstrom
Ir -5.059 -2.069 -6.969
Ni -1.686 -0.690 -2.323
Th 0.000 0.000 0.000
Sc -3.373 -1.380 -4.646
CELL_PARAMETERS angstrom
-0.576 0.566 -4.753
-1.737 -3.622 -2.666
-4.433 0.296 -1.873
! Magnetic moment = 0.0 Bohr magnetons per cell


Computed stability ranking, most favorable first: run P, run Q


Run P
! PBE ScZnNiIr, optimized geometry; values from VASP
&SYSTEM
  ibrav = 0, nat = 4, ntyp = 4
/
ATOMIC_SPECIES
Sc 44.96 Sc.upf
Ni 58.69 Ni.upf
Zn 65.41 Zn.upf
Ir 192.22 Ir.upf
ATOMIC_POSITIONS angstrom
Sc 0.000 0.000 0.000
Ni -2.271 -0.651 1.257
Zn -4.543 -1.302 2.515
Ir -6.814 -1.953 3.772
CELL_PARAMETERS angstrom
-3.941 1.440 1.223
-3.416 -2.727 0.015
-1.728 -1.318 3.792
! Magnetic moment = 0.0 Bohr magnetons per cell


Run Q
! PBE ScZnNiIr, optimized geometry; values from VASP
&SYSTEM
  ibrav = 0, nat = 4, ntyp = 4
/
ATOMIC_SPECIES
Sc 44.96 Sc.upf
Ni 58.69 Ni.upf
Ir 192.22 Ir.upf
Zn 65.41 Zn.upf
ATOMIC_POSITIONS angstrom
Sc 1.760 2.040 0.000
Ni 0.000 0.000 0.000
Ir 0.000 2.040 2.032
Zn 1.760 0.000 2.032
CELL_PARAMETERS angstrom
3.520 0.000 0.000
0.000 4.079 0.000
0.000 0.000 4.064
! Magnetic moment = 0.0 Bohr magnetons per cell


Computed stability ranking, most favorable first: run Q, run P


Run P
! PBE Ni2IrSe2, optimized geometry; values from VASP
&SYSTEM
  ibrav = 0, nat = 10, ntyp = 3
/
ATOMIC_SPECIES
Ni 58.69 Ni.upf
Ir 192.22 Ir.upf
Se 78.96 Se.upf
ATOMIC_POSITIONS angstrom
Ni 2.503 5.887 0.000
Ir 3.384 3.384 0.000
Ir 0.000 0.000 0.000
Se 1.185 4.569 1.560
Se 4.569 5.583 1.560
Ni 4.265 0.881 0.000
Ni 0.881 2.503 0.000
Se 5.583 2.199 1.560
Se 2.199 1.185 1.560
Ni 5.887 4.265 0.000
CELL_PARAMETERS angstrom
6.768 0.000 0.000
0.000 6.768 0.000
0.000 0.000 3.120
! Magnetic moment = 0.0 Bohr magnetons per cell


Run Q
! PBE Ni2IrSe2, optimized geometry; values from VASP
&SYSTEM
  ibrav = 0, nat = 5, ntyp = 3
/
ATOMIC_SPECIES
Ni 58.69 Ni.upf
Se 78.96 Se.upf
Ir 192.22 Ir.upf
ATOMIC_POSITIONS angstrom
Ni -0.595 -0.895 3.236
Se -1.001 -2.912 4.464
Ni -0.869 -1.897 6.631
Ir 0.000 0.000 0.000
Se -0.463 0.120 5.402
CELL_PARAMETERS angstrom
-1.023 2.456 3.693
-2.098 -3.607 1.818
1.657 -1.641 4.355
! Magnetic moment = 0.0 Bohr magnetons per cell


Computed stability ranking, most favorable first: run P, run Q


Run P
! PBE NiIrSe4, optimized geometry; values from VASP
&SYSTEM
  ibrav = 0, nat = 6, ntyp = 3
/
ATOMIC_SPECIES
Ni 58.69 Ni.upf
Ir 192.22 Ir.upf
Se 78.96 Se.upf
ATOMIC_POSITIONS angstrom
Ni 0.000 0.000 0.000
Ir -1.842 3.114 0.652
Se -1.929 4.965 2.314
Se -0.103 1.785 1.853
Se -2.152 -0.351 3.809
Se -0.287 2.753 4.548
CELL_PARAMETERS angstrom
-3.691 0.076 -0.279
-0.398 -1.614 4.819
0.008 6.152 1.583
! Magnetic moment = 0.0 Bohr magnetons per cell


Run Q
! PBE NiIrSe4, optimized geometry; values from VASP
&SYSTEM
  ibrav = 0, nat = 6, ntyp = 3
/
ATOMIC_SPECIES
Se 78.96 Se.upf
Ir 192.22 Ir.upf
Ni 58.69 Ni.upf
ATOMIC_POSITIONS angstrom
Se -0.448 0.143 -4.377
Se 0.478 -3.083 -3.092
Se -1.646 -1.051 -1.549
Se -0.721 -4.277 -0.264
Ir 0.000 0.000 0.000
Ni -2.509 -2.678 0.064
CELL_PARAMETERS angstrom
-3.430 0.650 -1.178
3.849 1.223 -4.769
-1.588 -6.007 1.307
! Magnetic moment = 0.0 Bohr magnetons per cell


Run R
! PBE NiIrSe4, optimized geometry; values from VASP
&SYSTEM
  ibrav = 0, nat = 6, ntyp = 3
/
ATOMIC_SPECIES
Se 78.96 Se.upf
Ni 58.69 Ni.upf
Ir 192.22 Ir.upf
ATOMIC_POSITIONS angstrom
Se -4.843 -1.305 0.092
Se -6.606 -3.340 -0.319
Se -7.057 -1.527 1.664
Ni 0.000 0.000 0.000
Se -7.307 -0.783 -0.945
Ir -9.680 -2.609 0.184
CELL_PARAMETERS angstrom
-3.533 -4.078 -0.824
-4.436 -0.445 3.148
-4.937 1.045 -2.078
! Magnetic moment = 1.6 Bohr magnetons per cell


Computed stability ranking, most favorable first: run P, run Q, run R


Run P
! PBE NiIr2Se6, optimized geometry; values from VASP
&SYSTEM
  ibrav = 0, nat = 27, ntyp = 3
/
ATOMIC_SPECIES
Se 78.96 Se.upf
Ni 58.69 Ni.upf
Ir 192.22 Ir.upf
ATOMIC_POSITIONS angstrom
Se 2.238 -6.839 6.981
Ni 0.000 0.000 0.000
Ir -7.084 -0.256 -1.864
Ir 1.651 -2.999 1.436
Se -6.507 -4.299 3.611
Se -2.596 -6.812 3.030
Se -3.056 -3.964 4.417
Se -0.534 -3.482 2.506
Se -9.279 -0.942 -0.864
Ir -3.588 -0.129 -0.944
Se -3.985 -3.816 1.700
Se -5.736 -0.636 0.177
Ir -1.937 -3.128 0.492
Ni -6.127 -2.456 1.913
Se -8.265 -1.106 2.082
Se -1.052 -0.862 4.118
Ni -0.914 -5.324 4.204
Se -4.445 -0.968 3.086
Se 1.224 -6.674 4.035
Ir -3.825 -6.176 0.972
Se -4.913 -7.097 5.099
Ir 3.259 -5.921 2.836
Se -1.305 -7.145 5.940
Se -7.790 -3.954 0.699
Se -2.128 -0.684 1.017
Se 0.750 -3.827 5.418
Se -5.988 -6.919 1.999
CELL_PARAMETERS angstrom
-1.279 1.524 4.652
-10.672 -0.385 -2.807
4.910 -8.920 4.272
! Magnetic moment = 0.0 Bohr magnetons per cell


Run Q
! PBE NiIr2Se6, optimized geometry; values from VASP
&SYSTEM
  ibrav = 0, nat = 18, ntyp = 3
/
ATOMIC_SPECIES
Se 78.96 Se.upf
Ir 192.22 Ir.upf
Ni 58.69 Ni.upf
ATOMIC_POSITIONS angstrom
Se 4.583 1.073 7.700
Se 3.952 3.952 5.805
Ir 2.828 2.828 7.739
Se 3.902 3.902 9.715
Ni 0.000 0.000 5.805
Se 3.902 3.902 1.895
Ir 0.000 0.000 1.934
Ir 2.828 2.828 3.871
Se 4.532 1.124 0.000
Se 1.073 4.583 3.910
Se 1.073 4.583 7.700
Ni 2.828 2.828 0.000
Se 1.124 4.532 0.000
Se 1.755 1.755 9.715
Se 1.704 1.704 5.805
Se 1.755 1.755 1.895
Ir 0.000 0.000 9.676
Se 4.583 1.073 3.910
CELL_PARAMETERS angstrom
5.656 0.000 0.000
0.000 5.656 0.000
0.000 0.000 11.610
! Magnetic moment = 0.0 Bohr magnetons per cell


Computed stability ranking, most favorable first: run P, run Q


Run P
! PBE SiNi3Ir, optimized geometry; values from VASP
&SYSTEM
  ibrav = 0, nat = 5, ntyp = 3
/
ATOMIC_SPECIES
Si 28.09 Si.upf
Ir 192.22 Ir.upf
Ni 58.69 Ni.upf
ATOMIC_POSITIONS angstrom
Si 0.000 0.000 0.000
Ir 2.055 2.055 2.055
Ni 2.055 0.000 0.000
Ni 0.000 2.055 0.000
Ni 0.000 0.000 2.055
CELL_PARAMETERS angstrom
4.110 0.000 0.000
0.000 4.110 0.000
0.000 0.000 4.110
! Magnetic moment = 0.0 Bohr magnetons per cell


Run Q
! PBE SiNi3Ir, optimized geometry; values from VASP
&SYSTEM
  ibrav = 0, nat = 5, ntyp = 3
/
ATOMIC_SPECIES
Ni 58.69 Ni.upf
Si 28.09 Si.upf
Ir 192.22 Ir.upf
ATOMIC_POSITIONS angstrom
Ni -1.788 -1.227 0.640
Si -3.665 0.506 -1.283
Ir 0.000 0.000 0.000
Ni -0.662 -0.160 -2.156
Ni -1.215 1.893 0.233
CELL_PARAMETERS angstrom
-2.430 3.785 0.466
-1.324 -0.319 -4.312
-3.577 -2.453 1.280
! Magnetic moment = 2.5 Bohr magnetons per cell


Computed stability ranking, most favorable first: run P, run Q